Record 1
The following is a GGA-PBE calculation of crystalline Tm6Pt2O at its relaxed geometry, from the Alexandria database.

Properties
Energy relative to the elements, uncorrected, eV/atom: -1.3155

a b c (Å): 6.3423 6.9251 11.1697
angles (deg): 90.00 123.22 90.00
Last column: nearest neighbours and their distance in Å.
Space group P2_1/c (No. 14)
Asymmetric unit:
Tm  0.1291  0.0272  0.2448 x4  1 O 2.39
Tm  0.2380  0.6875  0.0577 x4  1 O 2.51
Tm  0.3682  0.1823  0.0564 x4  1 O 2.41
Pt  0.2955  0.0981  0.7536 x4  6 Tm 2.78-2.93
O  0.0000  0.0000  0.0000 x2  6 Tm 2.39-2.51

---

Record 2
The following is a GGA-PBE calculation of crystalline La3HoCo at its relaxed geometry, from the Alexandria database.

Properties
Formation enthalpy at 0 K, meV per atom: 41
Polymorph energy (0 for the lowest one), meV per atom: 118

a b c (Å): 5.4680 5.4680 5.4680
angles (deg): 90.00 90.00 90.00
Last column: nearest neighbours and their distance in Å.
Space group Pm-3m (No. 221)
Asymmetric unit:
La  0.0000  0.0000  0.5000 x3  2 Co 2.73
Ho  0.5000  0.5000  0.5000 x1  12 La 3.87
Co  0.0000  0.0000  0.0000 x1  6 La 2.73

---

Record 3
The following is a GGA-PBE calculation of crystalline TbMgSbPd at its relaxed geometry, from the Alexandria database.

Properties
Energy relative to the elements, uncorrected, eV/atom: -0.6353

a b c (Å): 7.0854 7.0854 7.0854
angles (deg): 90.00 90.00 90.00
Last column: nearest neighbours and their distance in Å.
Space group F-43m (No. 216)
Asymmetric unit:
Tb  0.0000  0.0000  0.0000 x4  4 Pd 3.07, 4 Sb 3.07
Mg  0.0000  0.0000  0.5000 x4  4 Sb 3.07, 4 Pd 3.07
Sb  0.2500  0.2500  0.2500 x4  4 Tb 3.07, 4 Mg 3.07
Pd  0.2500  0.2500  0.7500 x4  4 Mg 3.07, 4 Tb 3.07

---

Record 4
The following is a GGA-PBE calculation of crystalline BeTlZn at its relaxed geometry, from the Alexandria database.

Properties
Formation enthalpy at 0 K, meV per atom: 526
Polymorph energy (0 for the lowest one), meV per atom: 249

a b c (Å): 3.6713 3.9583 7.5054
angles (deg): 90.00 90.00 90.00
Last column: nearest neighbours and their distance in Å.
Space group Imm2 (No. 44)
Asymmetric unit:
Be  0.0000  0.0000  0.0000 x2  1 Zn 2.36, 1 Tl 2.52
Tl  0.0000  0.0000  0.6649 x2  1 Be 2.52, 1 Zn 2.63
Zn  0.0000  0.0000  0.3144 x2  1 Be 2.36, 1 Tl 2.63

---

The records above give, respectively, Fermi-level density of states values of 0.888 1.852 0.514 0.224 states/eV/atom.